1.
{
  "formula": "NaLa4Mg5",
  "functional": "PBE",
  "state": "optimized geometry",
  "cell": [[3.950, 0.000, 0.000], [0.000, 3.950, 0.000], [0.000, 0.000, 19.793]],
  "species": ["Na", "La", "La", "La", "La", "Mg", "Mg", "Mg", "Mg", "Mg"],
  "frac_coords": [[0.000, 0.000, 0.000], [0.000, 0.000, 0.201], [0.000, 0.000, 0.399], [0.000, 0.000, 0.601], [0.000, 0.000, 0.799], [0.500, 0.500, 0.097], [0.500, 0.500, 0.300], [0.500, 0.500, 0.500], [0.500, 0.500, 0.700], [0.500, 0.500, 0.903]],
  "final_energy_ry_per_atom": -0.2174,
  "formation_energy_mev_per_atom": -57.6,
  "vol_a3_per_atom": 30.88
}

=====

2.
{
  "formula": "NaLaMg2",
  "functional": "PBE",
  "state": "optimized geometry",
  "cell": [[3.799, 0.000, 0.000], [0.000, 3.799, 0.000], [0.000, 0.000, 8.351]],
  "species": ["Na", "La", "Mg", "Mg"],
  "frac_coords": [[0.000, 0.000, 0.000], [0.000, 0.000, 0.500], [0.500, 0.500, 0.240], [0.500, 0.500, 0.760]],
  "final_energy_ry_per_atom": -0.1704,
  "formation_energy_mev_per_atom": 39.8,
  "polymorph_energy_kj_per_mol_atoms": 0.0,
  "vol_a3_per_atom": 30.13
}

=====

3.
{
  "formula": "NaLa3Mg",
  "functional": "PBE",
  "state": "optimized geometry",
  "cell": [[6.035, 0.000, 0.000], [0.000, 6.035, 0.000], [0.000, 0.000, 6.035]],
  "species": ["Na", "La", "La", "La", "Mg"],
  "frac_coords": [[0.000, 0.000, 0.000], [0.000, 0.500, 0.500], [0.500, 0.000, 0.500], [0.500, 0.500, 0.000], [0.500, 0.500, 0.500]],
  "final_energy_ry_per_atom": -0.2209,
  "formation_energy_mev_per_atom": 533.5,
  "polymorph_energy_kj_per_mol_atoms": 0.0,
  "vol_a3_per_atom": 43.95
}

=====

4.
{
  "formula": "NaLa2Mg",
  "functional": "PBE",
  "state": "optimized geometry",
  "cell": [[3.931, 0.000, 0.000], [0.000, 3.931, 0.000], [0.000, 0.000, 8.872]],
  "species": ["Na", "La", "La", "Mg"],
  "frac_coords": [[0.000, 0.000, 0.000], [0.500, 0.500, 0.284], [0.500, 0.500, 0.716], [0.000, 0.000, 0.500]],
  "final_energy_ry_per_atom": -0.2296,
  "formation_energy_mev_per_atom": 68.8,
  "vol_a3_per_atom": 34.28
}

=====

5.
{
  "formula": "Na2LaMg",
  "functional": "PBE",
  "state": "optimized geometry",
  "cell": [[4.681, 0.000, 0.000], [0.000, 4.681, 0.000], [0.000, 0.000, 25.485]],
  "species": ["Na", "Na", "Na", "Na", "Na", "Na", "Na", "Na", "La", "La", "La", "La", "Mg", "Mg", "Mg", "Mg"],
  "frac_coords": [[0.222, 0.250, 0.125], [0.250, 0.722, 0.375], [0.250, 0.778, 0.875], [0.278, 0.250, 0.625], [0.722, 0.750, 0.625], [0.750, 0.222, 0.875], [0.750, 0.278, 0.375], [0.778, 0.750, 0.125], [0.000, 0.000, 0.500], [0.000, 0.500, 0.750], [0.500, 0.000, 0.250], [0.500, 0.500, 0.000], [0.000, 0.000, 0.000], [0.000, 0.500, 0.250], [0.500, 0.000, 0.750], [0.500, 0.500, 0.500]],
  "final_energy_ry_per_atom": -0.1455,
  "formation_energy_mev_per_atom": 309.9,
  "vol_a3_per_atom": 34.90
}

=====

6.
{
  "formula": "NaLaMg10",
  "functional": "PBE",
  "state": "optimized geometry",
  "cell": [[5.054, 0.000, 0.000], [0.000, 5.999, 0.000], [0.000, 0.000, 10.595]],
  "species": ["Na", "La", "Mg", "Mg", "Mg", "Mg", "Mg", "Mg", "Mg", "Mg", "Mg", "Mg"],
  "frac_coords": [[0.000, 0.000, 0.000], [0.000, 0.500, 0.500], [0.000, 0.000, 0.328], [0.000, 0.000, 0.672], [0.000, 0.500, 0.166], [0.000, 0.500, 0.834], [0.500, 0.000, 0.500], [0.500, 0.259, 0.262], [0.500, 0.259, 0.738], [0.500, 0.500, 0.000], [0.500, 0.741, 0.262], [0.500, 0.741, 0.738]],
  "final_energy_ry_per_atom": -0.1347,
  "formation_energy_mev_per_atom": 16.6,
  "vol_a3_per_atom": 26.77
}

=====

7.
{
  "formula": "NaLa2Mg2",
  "functional": "PBE",
  "state": "optimized geometry",
  "cell": [[9.843, 0.000, 0.000], [0.000, 9.843, 0.000], [0.000, 0.000, 3.483]],
  "species": ["Na", "Na", "La", "La", "La", "La", "Mg", "Mg", "Mg", "Mg"],
  "frac_coords": [[0.000, 0.000, 0.000], [0.500, 0.500, 0.000], [0.116, 0.384, 0.000], [0.384, 0.884, 0.000], [0.616, 0.116, 0.000], [0.884, 0.616, 0.000], [0.176, 0.676, 0.500], [0.324, 0.176, 0.500], [0.676, 0.824, 0.500], [0.824, 0.324, 0.500]],
  "final_energy_ry_per_atom": -0.2015,
  "formation_energy_mev_per_atom": 130.4,
  "vol_a3_per_atom": 33.74
}

=====

8.
{
  "formula": "NaLa2Mg",
  "functional": "PBE",
  "state": "optimized geometry",
  "cell": [[3.546, 0.000, 0.000], [-1.773, 3.071, 0.000], [0.000, 0.000, 38.401]],
  "species": ["Na", "Na", "Na", "La", "La", "La", "La", "La", "La", "Mg", "Mg", "Mg"],
  "frac_coords": [[0.000, 0.000, 0.000], [0.333, 0.667, 0.667], [0.667, 0.333, 0.333], [0.000, 0.000, 0.095], [0.000, 0.000, 0.905], [0.333, 0.667, 0.572], [0.333, 0.667, 0.762], [0.667, 0.333, 0.238], [0.667, 0.333, 0.428], [0.000, 0.000, 0.500], [0.333, 0.667, 0.167], [0.667, 0.333, 0.833]],
  "final_energy_ry_per_atom": -0.2243,
  "formation_energy_mev_per_atom": 139.9,
  "vol_a3_per_atom": 34.84
}